{
  "formula": "PrSm12Y7",
  "functional": "PBE",
  "state": "relaxed",
  "relative_energy_kcal_per_mol_atoms": 10.330,
  "energy_ev_per_atom": -4.65,
  "ef_ev_per_atom": 0.68,
  "m_tot_mub_per_cell": 0.0,
  "vol_a3_per_atom": 37.86,
  "lattice": [[9.3765, 0.0000, -3.3151], [-4.6882, 8.1203, -3.3151], [0.0000, 0.0000, 9.9453]],
  "species": ["Pr", "Sm", "Sm", "Sm", "Sm", "Sm", "Sm", "Sm", "Sm", "Sm", "Sm", "Sm", "Sm", "Y", "Y", "Y", "Y", "Y", "Y", "Y"],
  "fractional_positions": [[0.0000, 0.0000, 0.0000], [0.4916, 0.7462, 0.7454], [0.0008, 0.7462, 0.2546], [0.5084, 0.2538, 0.2546], [0.9992, 0.2538, 0.7454], [0.7454, 0.9992, 0.2538], [0.7454, 0.4916, 0.7462], [0.2546, 0.0008, 0.7462], [0.2546, 0.5084, 0.2538], [0.7462, 0.7454, 0.4916], [0.2538, 0.2546, 0.5084], [0.7462, 0.2546, 0.0008], [0.2538, 0.7454, 0.9992], [0.5000, 0.5000, 0.0000], [0.0000, 0.5000, 0.5000], [0.5000, 0.0000, 0.5000], [0.5000, 0.5000, 0.5000], [0.0000, 0.0000, 0.5000], [0.5000, 0.0000, 0.0000], [0.0000, 0.5000, 0.0000]]
}